CdPb2O4 | PBE | relaxed

For the total energy, the calculation gives -4.899 eV per atom.

The structure belongs to space group Fd-3m (No. 227, origin choice 2); the cell edges are 9.781, 9.781 and 9.781 Å and the angles 90.00°, 90.00° and 90.00°. The distinct sites, in fractional coordinates, are Cd at (0.125, 0.125, 0.125), Pb at (0.000, 0.000, 0.500) and O at (0.009, 0.009, 0.741).

---

Cd2Pb3O8 | PBE | relaxed

For the total energy, the calculation gives -4.932 eV per atom.

The structure belongs to space group C2/m (No. 12); the cell edges are 11.150, 6.611 and 5.590 Å and the angles 90.00°, 110.40° and 90.00°. The distinct sites, in fractional coordinates, are Cd at (0.216, 0.000, 0.142), Pb at (0.000, 0.239, 0.500), Pb at (0.000, 0.500, 0.000), O at (0.110, 0.500, 0.420), O at (0.115, 0.000, 0.427) and O at (0.120, 0.277, 0.903).

---

CdPbO3 | PBE | relaxed

For the total energy, the calculation gives -4.812 eV per atom.

The structure belongs to space group Pnma (No. 62); the cell edges are 5.832, 8.190 and 5.657 Å and the angles 90.00°, 90.00° and 90.00°. The distinct sites, in fractional coordinates, are Cd at (0.053, 0.250, 0.013), Pb at (0.000, 0.000, 0.500), O at (0.076, 0.750, 0.368) and O at (0.191, 0.572, 0.814).

---

CdPbO3 | PBE | relaxed

For the total energy, the calculation gives -4.572 eV per atom.

The structure belongs to space group P4mm (No. 99); the cell edges are 4.015, 4.015 and 4.768 Å and the angles 90.00°, 90.00° and 90.00°. The distinct sites, in fractional coordinates, are Cd at (0.000, 0.000, 0.000), Pb at (0.500, 0.500, 0.596), O at (0.000, 0.500, 0.759) and O at (0.500, 0.500, 0.168).